The following is a PBE-GGA calculation of crystalline Rb2MgTlI5 at its relaxed geometry, from the Alexandria database.

Structure (extended XYZ):
```
18
Lattice="2.329 -10.403 0.000 2.329 10.403 0.000 0.000 0.000 17.298" Properties=species:S:1:pos:R:3 pbc="T T T"
Rb 2.329 8.831 8.649
Rb 2.329 7.397 2.585
Rb 2.329 -7.397 11.234
Rb 2.329 -8.831 0.000
Mg 2.329 5.553 15.388
Mg 2.329 -5.553 6.739
Tl 2.329 0.985 5.267
Tl 2.329 -0.985 13.916
I 2.329 8.350 16.118
I 2.329 5.214 8.777
I 2.329 4.342 4.792
I 2.329 2.770 14.623
I 2.329 0.185 10.750
I 2.329 -0.185 2.101
I 2.329 -2.770 5.974
I 2.329 -4.342 13.441
I 2.329 -5.214 0.128
I 2.329 -8.350 7.469
```

Results
Mass density in Mg/m³: 4.10
Total DFT energy (no corrections) in eV per cell: -47.230
Space group: No. 36